Record 1
SrCd2Re (PBE, relaxed); offset from the most stable computed form = 0.213 eV per atom; SG = R-3m, No. 166; total moment = 0.00 Bohr magnetons per cell; ΔH_f (0 K) = 0.7413 eV/atom
1.0
3.0446 0.0000 0.0000
-1.5223 2.6367 0.0000
0.0000 0.0000 32.0305
Sr Cd Re
3 6 3
direct
0.0000 0.0000 0.0000
0.3333 0.6667 0.6667
0.6667 0.3333 0.3333
0.0000 0.0000 0.2404
0.0000 0.0000 0.7596
0.3333 0.6667 0.4262
0.3333 0.6667 0.9071
0.6667 0.3333 0.0929
0.6667 0.3333 0.5738
0.0000 0.0000 0.5000
0.3333 0.6667 0.1667
0.6667 0.3333 0.8333

---

Record 2
SrCd2Re (PBE, relaxed); offset from the most stable computed form = 0.157 eV per atom; SG = Fm-3m, No. 225; total moment = 3.20 Bohr magnetons per cell; ΔH_f (0 K) = 0.6857 eV/atom
1.0
7.1491 0.0000 0.0000
0.0000 7.1491 0.0000
0.0000 0.0000 7.1491
Sr Cd Re
4 8 4
direct
0.0000 0.0000 0.0000
0.0000 0.5000 0.5000
0.5000 0.0000 0.5000
0.5000 0.5000 0.0000
0.2500 0.2500 0.2500
0.2500 0.2500 0.7500
0.2500 0.7500 0.2500
0.2500 0.7500 0.7500
0.7500 0.2500 0.2500
0.7500 0.2500 0.7500
0.7500 0.7500 0.2500
0.7500 0.7500 0.7500
0.0000 0.0000 0.5000
0.0000 0.5000 0.0000
0.5000 0.0000 0.0000
0.5000 0.5000 0.5000